! SbPbSe4, single point on PBEsol structure, DFT SCAN; values from VASP
! **E**: -190.09 eV per cell
! **ΔE_f (raw)**: 3.26 eV per formula unit
! **Magnetic moment**: 0.00 Bohr magnetons per cell
&SYSTEM
  ibrav = 0, nat = 6, ntyp = 3
/
ATOMIC_SPECIES
Sb 121.76 Sb.upf
Pb 207.20 Pb.upf
Se 78.96 Se.upf
ATOMIC_POSITIONS angstrom
Sb 0.000 0.000 0.000
Pb 2.042 2.042 2.042
Se 5.110 3.058 3.058
Se 3.058 5.110 3.058
Se 3.058 3.058 5.110
Se 5.110 5.110 5.110
CELL_PARAMETERS angstrom
0.000 4.084 4.084
4.084 0.000 4.084
4.084 4.084 0.000